[1]
TaZn2Pt after structural relaxation, computed with PBE.

Cell: 4.6741 4.6741 4.6741 Å, 127.59 127.59 77.29°
With the nearest neighbours (Å) after each atom.
Element x y z (fractional)
Pt: 0.5000 0.5000 0.0000  8 Zn 2.76-2.92, 4 Ta 2.76
Ta: 0.2500 0.7500 0.5000  8 Zn 2.76-2.92, 4 Pt 2.76
Zn: 0.0000 0.0000 0.0000  4 Zn 2.76, 4 Ta 2.76, 4 Pt 2.92
Zn: 0.7500 0.2500 0.5000  4 Zn 2.76, 4 Pt 2.76, 4 Ta 2.92

Results
Total magnetic moment   0.000 μB per atom
Relative energy among the computed polymorphs   0.32 eV/f.u.
Energy relative to the elements   -0.98 eV/f.u.
Electronic total energy   -5.355 eV/atom
N(E_F)   2.0 states/eV/f.u.

---

[2]
TaZnPt2 after structural relaxation, computed with PBE.

Cell: 2.8625 2.8595 8.1420 Å, 69.39 90.00 90.00°
With the nearest neighbours (Å) after each atom.
Element x y z (fractional)
Zn: 0.5000 0.7500 0.7500  8 Pt 2.74, 4 Zn 2.86
Pt: 0.0000 0.0080 0.9924  4 Zn 2.74, 4 Ta 2.82, 4 Pt 2.86
Pt: 0.0000 0.4920 0.5076  4 Zn 2.74, 4 Ta 2.82, 4 Pt 2.86
Ta: 0.5000 0.2500 0.2500  8 Pt 2.82, 4 Ta 2.86

Results
Total magnetic moment   0.000 μB per atom
Energy relative to the elements   -2.63 eV/f.u.
Electronic total energy   -6.961 eV/atom
N(E_F)   1.0 states/eV/f.u.

---

[3]
TaZnPt2 after structural relaxation, computed with PBE.

Cell: 2.8371 3.9091 5.6706 Å, 90.00 90.00 90.00°
With the nearest neighbours (Å) after each atom.
Element x y z (fractional)
Zn: 0.5000 0.5000 0.7500  8 Pt 2.80, 2 Ta 2.84, 2 Zn 2.84
Pt: 0.0000 0.0000 0.0005  4 Ta 2.80, 4 Zn 2.80, 4 Pt 2.83-2.84
Pt: 0.0000 0.0000 0.4995  4 Ta 2.80, 4 Zn 2.80, 4 Pt 2.83-2.84
Ta: 0.5000 0.5000 0.2500  8 Pt 2.80, 2 Zn 2.84, 2 Ta 2.84

Results
Total magnetic moment   0.000 μB per atom
Energy relative to the elements   -2.30 eV/f.u.
Electronic total energy   -6.878 eV/atom
N(E_F)   1.6 states/eV/f.u.

---

[4]
TaZnPt2 after structural relaxation, computed with PBE.

Cell: 3.4490 3.4490 5.4801 Å, 90.00 90.00 90.00°
With the nearest neighbours (Å) after each atom.
Element x y z (fractional)
Pt: 0.0000 0.0000 0.9670  4 Zn 2.65, 2 Ta 2.68-2.80
Pt: 0.5000 0.5000 0.2755  4 Ta 2.68, 2 Zn 2.72-2.76, 4 Pt 2.97
Ta: 0.0000 0.0000 0.4780  6 Pt 2.68-2.80, 4 Zn 2.95
Zn: 0.5000 0.5000 0.7796  6 Pt 2.65-2.76, 4 Ta 2.95

Results
Total magnetic moment   0.000 μB per atom
Energy relative to the elements   -1.62 eV/f.u.
Electronic total energy   -6.707 eV/atom
N(E_F)   2.6 states/eV/f.u.

---

[5]
Ta2ZnPt after structural relaxation, computed with PBE.

Cell: 3.0394 3.6721 5.9540 Å, 90.00 90.00 90.00°
With the nearest neighbours (Å) after each atom.
Element x y z (fractional)
Pt: 0.5000 0.5000 0.7357  4 Zn 2.74, 5 Ta 2.82-2.84, 2 Pt 3.04
Ta: 0.0000 0.0000 0.9939  4 Pt 2.84, 6 Ta 2.87-3.04, 2 Zn 2.89-3.06
Ta: 0.5000 0.5000 0.2623  4 Zn 2.80, 1 Pt 2.82, 6 Ta 2.87-3.04
Zn: 0.0000 0.0000 0.5081  4 Pt 2.74, 6 Ta 2.80-3.06, 2 Zn 3.04

Results
Total magnetic moment   0.000 μB per atom
Relative energy among the computed polymorphs   0.11 eV/f.u.
Energy relative to the elements   -1.13 eV/f.u.
Electronic total energy   -8.038 eV/atom
N(E_F)   2.5 states/eV/f.u.

---

[6]
Ta2ZnPt after structural relaxation, computed with PBE.

Cell: 9.6199 9.6199 9.6199 Å, 17.08 17.08 17.08°
With the nearest neighbours (Å) after each atom.
Element x y z (fractional)
Pt: 0.7500 0.7500 0.7500  6 Pt 2.86, 6 Ta 2.87
Ta: 0.0008 0.0008 0.0008  6 Ta 2.86, 3 Pt 2.87, 3 Zn 2.91
Ta: 0.4992 0.4992 0.4992  6 Ta 2.86, 3 Pt 2.87, 3 Zn 2.91
Zn: 0.2500 0.2500 0.2500  6 Zn 2.86, 6 Ta 2.91

Results
Total magnetic moment   0.000 μB per atom
Relative energy among the computed polymorphs   0.76 eV/f.u.
Energy relative to the elements   -0.48 eV/f.u.
Electronic total energy   -7.876 eV/atom
N(E_F)   3.0 states/eV/f.u.

---

[7]
Ta2ZnPt after structural relaxation, computed with PBE.

Cell: 5.1746 5.1746 5.1746 Å, 135.85 135.85 64.21°
With the nearest neighbours (Å) after each atom.
Element x y z (fractional)
Pt: 0.7500 0.2500 0.5000  8 Ta 2.75-2.93, 4 Zn 2.93
Ta: 0.0000 0.0000 0.0000  4 Zn 2.75, 4 Ta 2.93, 4 Pt 2.93
Ta: 0.2500 0.7500 0.5000  4 Pt 2.75, 4 Zn 2.93, 4 Ta 2.93
Zn: 0.5000 0.5000 0.0000  8 Ta 2.75-2.93, 4 Pt 2.93

Results
Total magnetic moment   0.000 μB per atom
Relative energy among the computed polymorphs   0.53 eV/f.u.
Energy relative to the elements   -0.72 eV/f.u.
Electronic total energy   -7.935 eV/atom
N(E_F)   4.0 states/eV/f.u.

---

[8]
TaZn2Pt after structural relaxation, computed with PBE.

Cell: 8.9529 8.9529 8.9529 Å, 18.58 18.58 18.58°
With the nearest neighbours (Å) after each atom.
Element x y z (fractional)
Pt: 0.2500 0.2500 0.2500  6 Zn 2.67, 6 Pt 2.89
Ta: 0.7500 0.7500 0.7500  6 Zn 2.85, 6 Ta 2.89
Zn: 0.9957 0.9957 0.9957  3 Pt 2.67, 3 Ta 2.85, 6 Zn 2.89
Zn: 0.5043 0.5043 0.5043  3 Pt 2.67, 3 Ta 2.85, 6 Zn 2.89

Results
Total magnetic moment   0.000 μB per atom
Relative energy among the computed polymorphs   0.83 eV/f.u.
Energy relative to the elements   -0.47 eV/f.u.
Electronic total energy   -5.228 eV/atom
N(E_F)   2.7 states/eV/f.u.